1.
A plane-wave DFT calculation with PBE was carried out for an optimized crystal structure of Sm3Al3Cu8.

a = 4.2544 Å, b = 8.0471 Å, c = 8.0471 Å
α = 66.72°, β = 74.67°, γ = 74.67°
Closest atoms and distances in Å follow each position.
Atoms (fractional coordinates):
Sm 0.5000 0.5000 0.5000  12 Cu 3.02-3.27, 4 Al 3.37
Sm 0.7942 0.2058 0.2058  12 Cu 2.98-3.29, 2 Al 3.19
Sm 0.2058 0.7942 0.7942  12 Cu 2.98-3.29, 2 Al 3.19
Al 0.5000 0.0000 0.0000  4 Cu 2.51, 4 Al 2.80
Al 0.0000 0.7950 0.2050  6 Cu 2.50-2.69, 2 Al 2.80
Al 0.0000 0.2050 0.7950  6 Cu 2.50-2.69, 2 Al 2.80
Cu 0.6288 0.0854 0.6570  3 Cu 2.51-2.68, 3 Al 2.51-2.69
Cu 0.3712 0.9146 0.3430  3 Cu 2.51-2.68, 3 Al 2.51-2.69
Cu 0.6288 0.6570 0.0854  3 Cu 2.51-2.68, 3 Al 2.51-2.69
Cu 0.3712 0.3430 0.9146  3 Cu 2.51-2.68, 3 Al 2.51-2.69
Cu 0.8338 0.8122 0.5202  1 Al 2.50, 4 Cu 2.51-2.68
Cu 0.1662 0.1878 0.4798  1 Al 2.50, 4 Cu 2.51-2.68
Cu 0.8338 0.5202 0.8122  1 Al 2.50, 4 Cu 2.51-2.68
Cu 0.1662 0.4798 0.1878  1 Al 2.50, 4 Cu 2.51-2.68

Values from the calculation:
Space-group type   No. 71
ρ   7.20 Mg/m³

***

2.
A plane-wave DFT calculation with PBE was carried out for an optimized crystal structure of Sm5AlCu2.

a = 8.0199 Å, b = 8.0199 Å, c = 8.6291 Å
α = 117.69°, β = 117.69°, γ = 90.00°
Closest atoms and distances in Å follow each position.
Atoms (fractional coordinates):
Sm 0.5118 0.6974 0.7093  3 Cu 2.97-3.10, 2 Al 3.32
Sm 0.8026 0.9882 0.2907  3 Cu 2.97-3.10, 2 Al 3.32
Sm 0.0000 0.0000 0.0000  4 Cu 3.16, 2 Al 3.25
Sm 0.5000 0.5000 0.0000  4 Cu 3.16, 2 Al 3.25
Sm 0.1974 0.0118 0.7093  3 Cu 2.97-3.10, 2 Al 3.32
Sm 0.6974 0.1974 0.7093  3 Cu 2.97-3.10, 2 Al 3.32
Sm 0.0118 0.5118 0.7093  3 Cu 2.97-3.10, 2 Al 3.32
Sm 0.3026 0.8026 0.2907  3 Cu 2.97-3.10, 2 Al 3.32
Sm 0.9882 0.4882 0.2907  3 Cu 2.97-3.10, 2 Al 3.32
Sm 0.4882 0.3026 0.2907  3 Cu 2.97-3.10, 2 Al 3.32
Al 0.7500 0.7500 0.5000  10 Sm 3.25-3.32
Al 0.2500 0.2500 0.5000  10 Sm 3.25-3.32
Cu 0.1266 0.3734 0.0000  1 Cu 2.87, 8 Sm 2.97-3.16
Cu 0.6266 0.1266 0.0000  1 Cu 2.87, 8 Sm 2.97-3.16
Cu 0.3734 0.8734 0.0000  1 Cu 2.87, 8 Sm 2.97-3.16
Cu 0.8734 0.6266 0.0000  1 Cu 2.87, 8 Sm 2.97-3.16

Values from the calculation:
Space-group type   No. 140
ρ   7.19 Mg/m³

***

Calculated values (eV/f.u.) of energy of formation for the records, taken in order: -4.0, -1.3.